1.
SrCoPb2: optimized geometry, PBE.

Summary:
* space-group type: No. 119
* V: 108.1 Å³/cell
* ΔE_f: 262 meV/atom
* energy: -3.7888 eV per atom

a b c (Å): 5.822 5.822 5.822
angles (deg): 131.60 131.60 70.85
Fractional coordinates of all 4 atoms:
Sr  0.000  0.000  0.000
Co  0.250  0.750  0.500
Pb  0.500  0.500  0.000
Pb  0.750  0.250  0.500

=====

2.
LaAg2Ir: optimized geometry, PBE.

Summary:
* space-group type: No. 123
* V: 82.6 Å³/cell
* offset from the most stable computed form: 74 meV per atom
* ΔE_f: -186 meV/atom
* energy: -5.0588 eV per atom

a b c (Å): 4.123 4.123 4.856
angles (deg): 90.00 90.00 90.00
Fractional coordinates of all 4 atoms:
La  0.000  0.000  0.000
Ag  0.000  0.500  0.500
Ag  0.500  0.000  0.500
Ir  0.500  0.500  0.000

=====

3.
Ba4La5: optimized geometry, PBE.

Summary:
* space-group type: No. 139
* V: 408.3 Å³/cell
* ΔE_f: 156 meV/atom
* energy: -3.4356 eV per atom

a b c (Å): 8.974 8.974 8.974
angles (deg): 95.63 95.63 143.49
Fractional coordinates of all 9 atoms:
Ba  0.000  0.320  0.320
Ba  0.000  0.680  0.680
Ba  0.320  0.000  0.320
Ba  0.680  0.000  0.680
La  0.000  0.000  0.000
La  0.350  0.350  0.701
La  0.350  0.650  0.000
La  0.650  0.350  0.000
La  0.650  0.650  0.299

=====

Q: energy of number 1 (SrCoPb2)?
A: -3.7888 eV per atom

=====

Q: What is the ΔE_f in the first record?
A: 262 meV/atom